No. 1
19
Lattice="-2.8725 -4.7957 -4.2866 4.8571 -4.7238 1.9283 -4.1698 -2.2521 5.2121" Properties=species:S:1:pos:R:3 comment="AlAg12Au6 (GGA-PBE, relaxed)" dos_at_fermi_per_ev_cell=6.10 formation_energy_ev_per_atom=-0.0257 final_energy_ev_per_cell=-58.11 m_tot_mub_per_cell=0.00 pbc="T T T"
Al 0.0000 0.0000 0.0000
Ag -1.5880 -7.3080 -0.1257
Ag 0.4369 -7.0740 2.3899
Ag -2.7061 -6.3976 2.7734
Ag -0.5971 -4.4637 2.9795
Ag -2.6220 -4.6977 0.4639
Ag 0.5210 -5.3741 0.0804
Ag -0.9484 -1.7917 2.0517
Ag -3.3711 -9.1601 2.5496
Ag -0.6919 -9.4102 3.5697
Ag -1.2367 -9.9800 0.8021
Ag 1.1860 -2.6116 0.3042
Ag -1.4933 -2.3615 -0.7159
Au 1.1086 -8.2838 -0.0927
Au -1.3193 -5.0691 -2.0640
Au 2.1610 -4.6524 2.3198
Au -3.2938 -3.4879 2.9465
Au -0.8659 -6.7026 4.9178
Au -4.3462 -7.1193 0.5340

No. 2
8
Lattice="-0.9021 4.2479 1.2858 1.2360 -2.0001 7.4749 7.5472 1.0664 1.7720" Properties=species:S:1:pos:R:3 comment="LaPr2TmSb4 (GGA-PBE, relaxed)" dos_at_fermi_per_ev_cell=0.85 final_energy_ev_per_cell=-44.78 raw_formation_energy_ev_per_atom=-1.17 m_tot_mub_per_cell=0.00 pbc="T T T"
La 0.1670 1.1239 4.3804
Pr 7.5472 1.0664 1.7721
Pr 3.3225 2.6571 1.5289
Tm 4.3916 -0.4669 4.6235
Sb 6.5345 -0.7007 6.8994
Sb 1.3466 4.0148 3.6334
Sb 2.4298 0.9190 6.6449
Sb 5.4513 2.3952 3.8880

No. 3
5
Lattice="5.0644 0.0000 0.0000 0.0000 5.4686 0.0000 0.0000 0.0000 5.0644" Properties=species:S:1:pos:R:3 comment="HfVSi2Pb (GGA-PBE, relaxed)" dos_at_fermi_per_ev_cell=8.06 final_energy_ev_per_cell=-23.19 raw_formation_energy_ev_per_atom=2.09 m_tot_mub_per_cell=0.06 pbc="T T T"
Pb 0.0000 0.0000 0.0000
Si 0.0000 0.0000 2.5322
Si 2.5322 0.0000 0.0000
Hf 0.0000 2.7343 0.0000
V 2.5322 2.7343 2.5322

No. 4
4
Lattice="-9.2305 1.5197 0.9044 -9.0708 0.8216 -2.3184 -9.2566 -1.6227 -0.1072" Properties=species:S:1:pos:R:3 comment="Mg2ZnIn (GGA-PBE, relaxed)" dos_at_fermi_per_ev_cell=1.69 formation_energy_ev_per_atom=-0.0359 final_energy_ev_per_cell=-7.35 m_tot_mub_per_cell=0.00 pbc="T T T"
Zn -6.8895 0.1797 -0.3803
Mg -27.3172 0.7124 -1.5079
Mg -14.0196 0.3656 -0.7739
In -20.6684 0.5390 -1.1409

No. 5
8
Lattice="-4.5810 0.7353 0.8861 0.7886 -0.4700 4.4669 2.0922 11.9630 0.8892" Properties=species:S:1:pos:R:3 comment="Sr4CdGa3 (GGA-PBE, relaxed)" dos_at_fermi_per_ev_cell=8.90 formation_energy_ev_per_atom=-0.3613 final_energy_ev_per_cell=-19.61 m_tot_mub_per_cell=0.00 pbc="T T T"
Sr -1.1328 4.4981 3.0010
Sr 2.1721 9.9305 2.9891
Sr 0.3118 1.7826 0.1325
Sr -0.9491 8.0379 1.0132
Ga 1.5657 6.4633 2.7314
Ga 0.9280 5.3061 0.3944
Ga -0.3520 11.4521 1.2670
Cd -1.7599 0.9120 2.7345

No. 6
8
Lattice="-3.9247 1.1308 0.7041 -1.6865 -3.9035 -3.1317 2.5473 -4.0352 8.4803" Properties=species:S:1:pos:R:3 comment="K3H4S (GGA-PBE, relaxed)" dos_at_fermi_per_ev_cell=1.46 final_energy_ev_per_cell=-23.41 m_tot_mub_per_cell=0.00 pbc="T T T"
K -0.8432 -1.9517 -1.5658
K -0.0989 -1.5707 1.9708
K -2.9650 -5.2373 4.0819
H 0.0638 -3.7771 6.4211
H -3.1277 -3.0308 -0.3684
H -2.9786 -2.9901 0.3973
H -0.0853 -3.8178 5.6555
S -1.9624 0.5654 0.3521